Record 1
Pm2Hg6Bi | GGA-PBE | optimized geometry

Results
formation enthalpy at 0 K: -0.26 eV/atom

Unit cell a=14.9500 b=9.0813 c=3.4618 alpha=90.00 beta=90.01 gamma=90.00
With the nearest neighbours (Å) after each atom.
Space group C2/m (No. 12)
Unique sites:
Pm  0.1637  0.0000  0.4984 [4 per cell]  12 Hg 3.36-3.52, 2 Pm 3.46
Hg  0.0000  0.1684  0.0000 [4 per cell]  3 Hg 2.92-3.06
Hg  0.1671  0.3360  0.0047 [8 per cell]  3 Hg 2.92-2.98
Bi  0.0000  0.5000  0.5000 [2 per cell]  12 Hg 3.38-3.47, 2 Bi 3.46

Record 2
Pa2TaNb | GGA-PBE | optimized geometry

Results
polymorph energy (0 for the lowest one): 0 meV per atom
formation enthalpy at 0 K: 0.34 eV/atom

Unit cell a=3.5381 b=3.5381 c=7.1078 alpha=90.00 beta=90.00 gamma=90.00
With the nearest neighbours (Å) after each atom.
Space group P4/mmm (No. 123)
Unique sites:
Pa  0.0000  0.0000  0.2483 [2 per cell]  4 Nb 3.06, 4 Ta 3.08
Ta  0.5000  0.5000  0.5000 [1 per cell]  8 Pa 3.08
Nb  0.5000  0.5000  0.0000 [1 per cell]  8 Pa 3.06

Record 3
RbPrTe2 | GGA-PBE | optimized geometry

Results
formation energy without anion corrections: -1.238 eV per atom

Unit cell a=4.0256 b=4.0256 c=8.8283 alpha=90.00 beta=90.00 gamma=90.00
With the nearest neighbours (Å) after each atom.
Space group P4/mmm (No. 123)
Unique sites:
Rb  0.0000  0.0000  0.0000 [1 per cell]  8 Te 3.84, 4 Rb 4.03
Pr  0.0000  0.0000  0.5000 [1 per cell]  8 Te 3.39
Te  0.5000  0.5000  0.2912 [2 per cell]  4 Pr 3.39, 1 Te 3.69

no.,VASP energy (eV for the cell shown)
1,-34.980
2,-39.568
3,-16.982